Entry 1:
The following is a DFT calculation (PBE) of a geometry-optimized BaSr3Rh structure.

Results
For the energy relative to the lowest polymorph listed for this composition, the calculation gives 0.1272 eV per atom. The volume is 47.370 Å³ per atom. Its calculated density is 3.53 Mg/m³. The formation energy comes out at -0.06 eV/atom.

abc: 9.837 9.837 9.837
angles: 47.51 47.51 47.51
Atoms (fractional coordinates):
1 Ba 0.186 0.186 0.186
2 Ba 0.814 0.814 0.814
3 Sr 0.115 0.688 0.357
4 Sr 0.312 0.643 0.885
5 Sr 0.357 0.115 0.688
6 Sr 0.643 0.885 0.312
7 Sr 0.688 0.357 0.115
8 Sr 0.885 0.312 0.643
9 Rh 0.306 0.306 0.306
10 Rh 0.694 0.694 0.694

---

Entry 2:
The following is a DFT calculation (PBE) of a geometry-optimized BaSr3Rh structure.

Results
For the energy relative to the lowest polymorph listed for this composition, the calculation gives 0.3019 eV per atom. The volume is 52.171 Å³ per atom. Its calculated density is 3.20 Mg/m³. The formation energy comes out at 0.12 eV/atom.

abc: 4.830 4.830 25.819
angles: 90.00 90.00 120.00
Atoms (fractional coordinates):
1 Ba 0.000 0.000 0.000
2 Ba 0.000 0.000 0.500
3 Sr 0.000 0.000 0.250
4 Sr 0.000 0.000 0.750
5 Sr 0.333 0.667 0.136
6 Sr 0.333 0.667 0.364
7 Sr 0.667 0.333 0.636
8 Sr 0.667 0.333 0.864
9 Rh 0.333 0.667 0.250
10 Rh 0.667 0.333 0.750

---

Entry 3:
The following is a DFT calculation (PBE) of a geometry-optimized Ba7SrRh3 structure.

Results
The volume is 47.157 Å³ per atom. Its calculated density is 4.35 Mg/m³. The formation energy comes out at -0.17 eV/atom.

abc: 8.669 8.669 10.697
angles: 125.96 125.96 62.77
Atoms (fractional coordinates):
1 Ba 0.000 0.000 0.000
2 Ba 0.006 0.487 0.484
3 Ba 0.430 0.950 0.833
4 Ba 0.436 0.436 0.319
5 Ba 0.487 0.006 0.484
6 Ba 0.501 0.501 0.994
7 Ba 0.950 0.430 0.833
8 Sr 0.945 0.945 0.328
9 Rh 0.217 0.720 0.161
10 Rh 0.218 0.218 0.659
11 Rh 0.720 0.217 0.161

---

Entry 4:
The following is a DFT calculation (PBE) of a geometry-optimized BaSr2Rh structure.

Results
For the energy relative to the lowest polymorph listed for this composition, the calculation gives 0.0582 eV per atom. The volume is 45.507 Å³ per atom. Its calculated density is 3.79 Mg/m³. The formation energy comes out at -0.13 eV/atom.

abc: 7.297 7.297 4.373
angles: 90.00 90.00 128.58
Atoms (fractional coordinates):
1 Ba 0.000 0.000 0.000
2 Sr 0.351 0.649 0.500
3 Sr 0.649 0.351 0.500
4 Rh 0.500 0.500 0.000

---

Entry 5:
The following is a DFT calculation (PBE) of a geometry-optimized BaSr3Rh structure.

Results
For the energy relative to the lowest polymorph listed for this composition, the calculation gives 1.6435 eV per atom. The volume is 44.095 Å³ per atom. Its calculated density is 3.79 Mg/m³. The formation energy comes out at 1.46 eV/atom.

abc: 6.041 6.041 6.041
angles: 90.00 90.00 90.00
Atoms (fractional coordinates):
1 Ba 0.000 0.000 0.000
2 Sr 0.000 0.000 0.500
3 Sr 0.000 0.500 0.000
4 Sr 0.500 0.000 0.000
5 Rh 0.500 0.500 0.500

---

Entry 6:
The following is a DFT calculation (PBE) of a geometry-optimized BaSr2Rh structure.

Results
For the energy relative to the lowest polymorph listed for this composition, the calculation gives 0.3998 eV per atom. The volume is 56.826 Å³ per atom. Its calculated density is 3.04 Mg/m³. The formation energy comes out at 0.21 eV/atom.

abc: 8.636 8.636 8.636
angles: 120.11 120.11 89.81
Atoms (fractional coordinates):
1 Ba 0.000 0.000 0.000
2 Ba 0.750 0.250 0.500
3 Sr 0.374 0.625 0.249
4 Sr 0.375 0.624 0.749
5 Sr 0.376 0.125 0.751
6 Sr 0.875 0.626 0.251
7 Rh 0.250 0.750 0.500
8 Rh 0.500 0.500 0.000

---

Entry 7:
The following is a DFT calculation (PBE) of a geometry-optimized Ba6Sr3Rh structure.

Results
The volume is 55.561 Å³ per atom. Its calculated density is 3.56 Mg/m³. The formation energy comes out at -0.08 eV/atom.

abc: 13.269 13.269 6.311
angles: 90.00 90.00 89.78
Atoms (fractional coordinates):
1 Ba 0.087 0.913 0.750
2 Ba 0.088 0.589 0.750
3 Ba 0.249 0.751 0.250
4 Ba 0.254 0.415 0.250
5 Ba 0.411 0.912 0.750
6 Ba 0.415 0.254 0.750
7 Ba 0.585 0.746 0.250
8 Ba 0.589 0.088 0.250
9 Ba 0.746 0.585 0.750
10 Ba 0.751 0.249 0.750
11 Ba 0.912 0.411 0.250
12 Ba 0.913 0.087 0.250
13 Sr 0.088 0.249 0.750
14 Sr 0.249 0.088 0.250
15 Sr 0.410 0.590 0.750
16 Sr 0.590 0.410 0.250
17 Sr 0.751 0.912 0.750
18 Sr 0.912 0.751 0.250
19 Rh 0.249 0.751 0.750
20 Rh 0.751 0.249 0.250

---

Entry 8:
The following is a DFT calculation (PBE) of a geometry-optimized BaSr3Rh structure.

Results
For the energy relative to the lowest polymorph listed for this composition, the calculation gives 0.2935 eV per atom. The volume is 47.867 Å³ per atom. Its calculated density is 3.49 Mg/m³. The formation energy comes out at 0.11 eV/atom.

abc: 4.340 7.883 7.883
angles: 62.55 90.00 90.00
Atoms (fractional coordinates):
1 Ba 0.000 0.000 0.000
2 Sr 0.000 0.547 0.547
3 Sr 0.500 0.032 0.508
4 Sr 0.500 0.508 0.032
5 Rh 0.500 0.415 0.415

---

> Among the records above, which one has the highest volume?

number 6